No. 1
Computed, not measured: a relaxed structure of NdErSi2 at the GGA-PBE level of DFT. Values from VASP.

Calculated values
**Crystal system**: monoclinic
**Electronic total energy**: -23.28 eV/f.u.
**ΔE to the lowest computed polymorph**: 1.08 kJ/mol of atoms

Structure (Quantum ESPRESSO input):
```
&SYSTEM
  ibrav = 0, nat = 8, ntyp = 3
/
ATOMIC_SPECIES
Nd 144.24 Nd.upf
Er 167.26 Er.upf
Si 28.09 Si.upf
CELL_PARAMETERS angstrom
5.796 0.000 0.000
0.000 3.875 0.000
-0.078 0.000 8.053
ATOMIC_POSITIONS angstrom
Nd 0.651 0.969 1.453
Nd 5.067 2.906 6.600
Er 2.182 0.969 5.461
Er 3.536 2.906 2.593
Si 0.714 2.906 3.755
Si 2.110 2.906 7.729
Si 3.608 0.969 0.324
Si 5.004 0.969 4.298
```

***

No. 2
Computed, not measured: a relaxed structure of Nd2Er3Si4 at the GGA-PBE level of DFT. Values from VASP.

Calculated values
**Crystal system**: orthorhombic
**Electronic total energy**: -51.84 eV/f.u.

Structure (Quantum ESPRESSO input):
```
&SYSTEM
  ibrav = 0, nat = 36, ntyp = 3
/
ATOMIC_SPECIES
Nd 144.24 Nd.upf
Er 167.26 Er.upf
Si 28.09 Si.upf
CELL_PARAMETERS angstrom
7.454 0.000 0.000
0.000 14.696 0.000
0.000 0.000 7.768
ATOMIC_POSITIONS angstrom
Nd 0.159 1.440 1.390
Nd 0.159 5.908 1.390
Nd 3.569 8.788 5.274
Nd 3.569 13.256 5.274
Nd 3.886 1.440 2.494
Nd 3.886 5.908 2.494
Nd 7.296 8.788 6.378
Nd 7.296 13.256 6.378
Er 1.156 11.022 3.971
Er 1.331 1.815 5.268
Er 1.331 5.533 5.268
Er 2.396 9.163 1.384
Er 2.396 12.881 1.384
Er 2.571 3.674 0.087
Er 4.883 11.022 7.681
Er 5.058 1.815 6.384
Er 5.058 5.533 6.384
Er 6.123 9.163 2.500
Er 6.123 12.881 2.500
Er 6.298 3.674 3.797
Si 0.201 11.022 0.879
Si 1.098 7.928 3.639
Si 1.098 14.116 3.639
Si 1.690 3.674 2.937
Si 2.037 11.022 6.821
Si 2.629 0.580 7.523
Si 2.629 6.768 7.523
Si 3.526 3.674 4.763
Si 3.929 11.022 3.005
Si 4.825 7.928 0.245
Si 4.825 14.116 0.245
Si 5.417 3.674 0.947
Si 5.764 11.022 4.831
Si 6.356 0.580 4.129
Si 6.356 6.768 4.129
Si 7.253 3.674 6.889
```

***

No. 3
Computed, not measured: a relaxed structure of Nd3Sm2Er at the GGA-PBE level of DFT. Values from VASP.

Calculated values
**Crystal system**: orthorhombic
**Electronic total energy**: -28.30 eV/f.u.
**Energy of formation from the pure elements**: -0.005 eV per atom

Structure (Quantum ESPRESSO input):
```
&SYSTEM
  ibrav = 0, nat = 12, ntyp = 3
/
ATOMIC_SPECIES
Nd 144.24 Nd.upf
Sm 150.36 Sm.upf
Er 167.26 Er.upf
CELL_PARAMETERS angstrom
5.467 -3.154 0.000
5.467 3.154 0.000
0.000 0.000 11.701
ATOMIC_POSITIONS angstrom
Nd 0.000 0.000 0.000
Nd 0.000 0.000 5.850
Nd 3.661 0.000 0.000
Nd 3.661 0.000 5.850
Nd 7.274 0.000 0.000
Nd 7.274 0.000 5.850
Sm 1.826 1.047 2.925
Sm 1.826 -1.047 8.776
Sm 9.109 1.047 2.925
Sm 9.109 -1.047 8.776
Er 5.467 1.050 2.925
Er 5.467 -1.050 8.776
```

***

No. 4
Computed, not measured: a relaxed structure of NdSmEr at the GGA-PBE level of DFT. Values from VASP.

Calculated values
**Crystal system**: cubic
**Electronic total energy**: -11.96 eV/f.u.
**ΔE to the lowest computed polymorph**: 0.00 kJ/mol of atoms
**Energy of formation from the pure elements**: 0.692 eV per atom

Structure (Quantum ESPRESSO input):
```
&SYSTEM
  ibrav = 0, nat = 12, ntyp = 3
/
ATOMIC_SPECIES
Nd 144.24 Nd.upf
Sm 150.36 Sm.upf
Er 167.26 Er.upf
CELL_PARAMETERS angstrom
7.758 0.000 0.000
0.000 7.758 0.000
0.000 0.000 7.758
ATOMIC_POSITIONS angstrom
Nd 0.000 0.000 0.000
Nd 0.000 3.879 3.879
Nd 3.879 0.000 3.879
Nd 3.879 3.879 0.000
Sm 0.000 0.000 3.879
Sm 0.000 3.879 0.000
Sm 3.879 0.000 0.000
Sm 3.879 3.879 3.879
Er 1.939 1.939 1.939
Er 1.939 5.818 5.818
Er 5.818 1.939 5.818
Er 5.818 5.818 1.939
```

***

No. 5
Computed, not measured: a relaxed structure of NdErSn2 at the GGA-PBE level of DFT. Values from VASP.

Calculated values
**Crystal system**: orthorhombic
**Electronic total energy**: -17.07 eV/f.u.

Structure (Quantum ESPRESSO input):
```
&SYSTEM
  ibrav = 0, nat = 8, ntyp = 3
/
ATOMIC_SPECIES
Nd 144.24 Nd.upf
Er 167.26 Er.upf
Sn 118.71 Sn.upf
CELL_PARAMETERS angstrom
3.355 0.000 0.000
0.000 6.289 0.000
0.000 0.000 12.365
ATOMIC_POSITIONS angstrom
Nd 0.000 0.000 0.000
Nd 0.000 3.144 6.183
Er 0.000 0.000 3.463
Er 0.000 3.144 9.645
Sn 0.000 0.000 6.445
Sn 0.000 0.000 9.274
Sn 0.000 3.144 0.263
Sn 0.000 3.144 3.092
```

***

No. 6
Computed, not measured: a relaxed structure of NdErSn at the GGA-PBE level of DFT. Values from VASP.

Calculated values
**Crystal system**: cubic
**Electronic total energy**: -14.52 eV/f.u.
**ΔE to the lowest computed polymorph**: 0.00 kJ/mol of atoms

Structure (Quantum ESPRESSO input):
```
&SYSTEM
  ibrav = 0, nat = 12, ntyp = 3
/
ATOMIC_SPECIES
Nd 144.24 Nd.upf
Er 167.26 Er.upf
Sn 118.71 Sn.upf
CELL_PARAMETERS angstrom
7.349 0.000 0.000
0.000 7.349 0.000
0.000 0.000 7.349
ATOMIC_POSITIONS angstrom
Nd 0.000 0.000 0.000
Nd 0.000 3.675 3.675
Nd 3.675 0.000 3.675
Nd 3.675 3.675 0.000
Er 0.000 0.000 3.675
Er 0.000 3.675 0.000
Er 3.675 0.000 0.000
Er 3.675 3.675 3.675
Sn 1.837 1.837 5.512
Sn 1.837 5.512 1.837
Sn 5.512 1.837 1.837
Sn 5.512 5.512 5.512
```

***

No. 7
Computed, not measured: a relaxed structure of NdErZn2Sn2 at the GGA-PBE level of DFT. Values from VASP.

Calculated values
**Crystal system**: hexagonal
**Electronic total energy**: -23.38 eV/f.u.
**ΔE to the lowest computed polymorph**: 2.25 kJ/mol of atoms

Structure (Quantum ESPRESSO input):
```
&SYSTEM
  ibrav = 0, nat = 12, ntyp = 4
/
ATOMIC_SPECIES
Nd 144.24 Nd.upf
Er 167.26 Er.upf
Zn 65.41 Zn.upf
Sn 118.71 Sn.upf
CELL_PARAMETERS angstrom
4.555 0.000 0.000
-2.278 3.945 0.000
0.000 0.000 15.918
ATOMIC_POSITIONS angstrom
Nd 0.000 0.000 3.979
Nd 0.000 0.000 11.938
Er 0.000 0.000 0.000
Er 0.000 0.000 7.959
Zn 0.000 2.630 2.462
Zn 0.000 2.630 5.497
Zn 2.278 1.315 10.421
Zn 2.278 1.315 13.456
Sn 0.000 2.630 9.708
Sn 0.000 2.630 14.169
Sn 2.278 1.315 1.749
Sn 2.278 1.315 6.210
```

***

No. 8
Computed, not measured: a relaxed structure of NdErZn2Sn2 at the GGA-PBE level of DFT. Values from VASP.

Calculated values
**Crystal system**: hexagonal
**Electronic total energy**: -23.52 eV/f.u.
**ΔE to the lowest computed polymorph**: 0.00 kJ/mol of atoms

Structure (Quantum ESPRESSO input):
```
&SYSTEM
  ibrav = 0, nat = 12, ntyp = 4
/
ATOMIC_SPECIES
Nd 144.24 Nd.upf
Er 167.26 Er.upf
Zn 65.41 Zn.upf
Sn 118.71 Sn.upf
CELL_PARAMETERS angstrom
4.526 0.000 0.000
-2.263 3.919 0.000
0.000 0.000 16.070
ATOMIC_POSITIONS angstrom
Nd 0.000 0.000 0.000
Nd 0.000 0.000 8.035
Er 0.000 0.000 4.017
Er 0.000 0.000 12.052
Zn 0.000 2.613 2.611
Zn 0.000 2.613 5.424
Zn 2.263 1.306 10.646
Zn 2.263 1.306 13.459
Sn 0.000 2.613 9.936
Sn 0.000 2.613 14.168
Sn 2.263 1.306 1.901
Sn 2.263 1.306 6.133
```

***

No. 9
Computed, not measured: a relaxed structure of SrNdEr at the GGA-PBE level of DFT. Values from VASP.

Calculated values
**Crystal system**: cubic
**Electronic total energy**: -8.68 eV/f.u.

Structure (Quantum ESPRESSO input):
```
&SYSTEM
  ibrav = 0, nat = 12, ntyp = 3
/
ATOMIC_SPECIES
Sr 87.62 Sr.upf
Nd 144.24 Nd.upf
Er 167.26 Er.upf
CELL_PARAMETERS angstrom
8.153 0.000 0.000
0.000 8.153 0.000
0.000 0.000 8.153
ATOMIC_POSITIONS angstrom
Sr 0.000 0.000 0.000
Sr 0.000 4.077 4.077
Sr 4.077 0.000 4.077
Sr 4.077 4.077 0.000
Nd 0.000 0.000 4.077
Nd 0.000 4.077 0.000
Nd 4.077 0.000 0.000
Nd 4.077 4.077 4.077
Er 2.038 2.038 6.115
Er 2.038 6.115 2.038
Er 6.115 2.038 2.038
Er 6.115 6.115 6.115
```

***

No. 10
Computed, not measured: a relaxed structure of NdErTa at the GGA-PBE level of DFT. Values from VASP.

Calculated values
**Crystal system**: cubic
**Electronic total energy**: -17.34 eV/f.u.
**Energy of formation from the pure elements**: 1.281 eV per atom

Structure (Quantum ESPRESSO input):
```
&SYSTEM
  ibrav = 0, nat = 12, ntyp = 3
/
ATOMIC_SPECIES
Nd 144.24 Nd.upf
Er 167.26 Er.upf
Ta 180.95 Ta.upf
CELL_PARAMETERS angstrom
7.132 0.000 0.000
0.000 7.132 0.000
0.000 0.000 7.132
ATOMIC_POSITIONS angstrom
Nd 0.000 0.000 0.000
Nd 0.000 3.566 3.566
Nd 3.566 0.000 3.566
Nd 3.566 3.566 0.000
Er 1.783 1.783 1.783
Er 1.783 5.349 5.349
Er 5.349 1.783 5.349
Er 5.349 5.349 1.783
Ta 0.000 0.000 3.566
Ta 0.000 3.566 0.000
Ta 3.566 0.000 0.000
Ta 3.566 3.566 3.566
```

***

No. 11
Computed, not measured: a relaxed structure of TbNdEr at the GGA-PBE level of DFT. Values from VASP.

Calculated values
**Crystal system**: cubic
**Electronic total energy**: -11.84 eV/f.u.
**Energy of formation from the pure elements**: 0.706 eV per atom

Structure (Quantum ESPRESSO input):
```
&SYSTEM
  ibrav = 0, nat = 12, ntyp = 3
/
ATOMIC_SPECIES
Tb 158.93 Tb.upf
Nd 144.24 Nd.upf
Er 167.26 Er.upf
CELL_PARAMETERS angstrom
7.712 0.000 0.000
0.000 7.712 0.000
0.000 0.000 7.712
ATOMIC_POSITIONS angstrom
Tb 0.000 0.000 0.000
Tb 0.000 3.856 3.856
Tb 3.856 0.000 3.856
Tb 3.856 3.856 0.000
Nd 0.000 0.000 3.856
Nd 0.000 3.856 0.000
Nd 3.856 0.000 0.000
Nd 3.856 3.856 3.856
Er 1.928 1.928 5.784
Er 1.928 5.784 1.928
Er 5.784 1.928 1.928
Er 5.784 5.784 5.784
```

***

No. 12
Computed, not measured: a relaxed structure of NdEr2Te3 at the GGA-PBE level of DFT. Values from VASP.

Calculated values
**Crystal system**: trigonal
**Electronic total energy**: -31.03 eV/f.u.

Structure (Quantum ESPRESSO input):
```
&SYSTEM
  ibrav = 0, nat = 6, ntyp = 3
/
ATOMIC_SPECIES
Nd 144.24 Nd.upf
Er 167.26 Er.upf
Te 127.60 Te.upf
CELL_PARAMETERS angstrom
4.347 0.000 0.000
-2.173 3.764 0.000
0.000 0.000 10.863
ATOMIC_POSITIONS angstrom
Nd 0.000 0.000 0.000
Er 0.000 2.509 7.185
Er 2.173 1.255 3.679
Te 0.000 0.000 5.432
Te 0.000 2.509 1.964
Te 2.173 1.255 8.899
```

***

No. 13
Computed, not measured: a relaxed structure of NdErTe2 at the GGA-PBE level of DFT. Values from VASP.

Calculated values
**Crystal system**: trigonal
**Electronic total energy**: -20.91 eV/f.u.

Structure (Quantum ESPRESSO input):
```
&SYSTEM
  ibrav = 0, nat = 12, ntyp = 3
/
ATOMIC_SPECIES
Nd 144.24 Nd.upf
Er 167.26 Er.upf
Te 127.60 Te.upf
CELL_PARAMETERS angstrom
4.327 0.000 0.000
-2.164 3.747 0.000
0.000 0.000 22.313
ATOMIC_POSITIONS angstrom
Nd 0.000 0.000 0.000
Nd 0.000 2.498 14.875
Nd 2.164 1.249 7.438
Er 0.000 0.000 11.156
Er 0.000 2.498 3.719
Er 2.164 1.249 18.594
Te 0.000 0.000 5.464
Te 0.000 0.000 16.848
Te 0.000 2.498 9.411
Te 0.000 2.498 20.339
Te 2.164 1.249 1.973
Te 2.164 1.249 12.902
```

***

No. 14
Computed, not measured: a relaxed structure of NdErTe at the GGA-PBE level of DFT. Values from VASP.

Calculated values
**Crystal system**: cubic
**Electronic total energy**: -14.05 eV/f.u.
**ΔE to the lowest computed polymorph**: 0.00 kJ/mol of atoms

Structure (Quantum ESPRESSO input):
```
&SYSTEM
  ibrav = 0, nat = 12, ntyp = 3
/
ATOMIC_SPECIES
Nd 144.24 Nd.upf
Er 167.26 Er.upf
Te 127.60 Te.upf
CELL_PARAMETERS angstrom
7.245 0.000 0.000
0.000 7.245 0.000
0.000 0.000 7.245
ATOMIC_POSITIONS angstrom
Nd 0.000 0.000 0.000
Nd 0.000 3.623 3.623
Nd 3.623 0.000 3.623
Nd 3.623 3.623 0.000
Er 0.000 0.000 3.623
Er 0.000 3.623 0.000
Er 3.623 0.000 0.000
Er 3.623 3.623 3.623
Te 1.811 1.811 5.434
Te 1.811 5.434 1.811
Te 5.434 1.811 1.811
Te 5.434 5.434 5.434
```

***

No. 15
Computed, not measured: a relaxed structure of Nd2ErTe3 at the GGA-PBE level of DFT. Values from VASP.

Calculated values
**Crystal system**: trigonal
**Electronic total energy**: -31.66 eV/f.u.

Structure (Quantum ESPRESSO input):
```
&SYSTEM
  ibrav = 0, nat = 6, ntyp = 3
/
ATOMIC_SPECIES
Nd 144.24 Nd.upf
Er 167.26 Er.upf
Te 127.60 Te.upf
CELL_PARAMETERS angstrom
4.411 0.000 0.000
-2.205 3.820 0.000
0.000 0.000 10.991
ATOMIC_POSITIONS angstrom
Nd 0.000 2.547 1.883
Nd 2.205 1.273 9.108
Er 0.000 0.000 5.495
Te 0.000 0.000 0.000
Te 0.000 2.547 7.182
Te 2.205 1.273 3.809
```

***

No. 16
Computed, not measured: a relaxed structure of NdErTh at the GGA-PBE level of DFT. Values from VASP.

Calculated values
**Crystal system**: cubic
**Electronic total energy**: -14.43 eV/f.u.
**ΔE to the lowest computed polymorph**: 0.00 kJ/mol of atoms
**Energy of formation from the pure elements**: 0.771 eV per atom

Structure (Quantum ESPRESSO input):
```
&SYSTEM
  ibrav = 0, nat = 12, ntyp = 3
/
ATOMIC_SPECIES
Nd 144.24 Nd.upf
Er 167.26 Er.upf
Th 232.04 Th.upf
CELL_PARAMETERS angstrom
7.693 0.000 0.000
0.000 7.693 0.000
0.000 0.000 7.693
ATOMIC_POSITIONS angstrom
Nd 0.000 0.000 0.000
Nd 0.000 3.847 3.847
Nd 3.847 0.000 3.847
Nd 3.847 3.847 0.000
Er 1.923 1.923 1.923
Er 1.923 5.770 5.770
Er 5.770 1.923 5.770
Er 5.770 5.770 1.923
Th 0.000 0.000 3.847
Th 0.000 3.847 0.000
Th 3.847 0.000 0.000
Th 3.847 3.847 3.847
```

***

No. 17
Computed, not measured: a relaxed structure of NdErTl2 at the GGA-PBE level of DFT. Values from VASP.

Calculated values
**Crystal system**: tetragonal
**Electronic total energy**: -15.48 eV/f.u.

Structure (Quantum ESPRESSO input):
```
&SYSTEM
  ibrav = 0, nat = 4, ntyp = 3
/
ATOMIC_SPECIES
Nd 144.24 Nd.upf
Er 167.26 Er.upf
Tl 204.38 Tl.upf
CELL_PARAMETERS angstrom
3.819 0.000 0.000
0.000 3.819 0.000
0.000 0.000 7.654
ATOMIC_POSITIONS angstrom
Nd 0.000 0.000 0.000
Er 0.000 0.000 3.827
Tl 1.910 1.910 2.021
Tl 1.910 1.910 5.632
```

***

No. 18
Computed, not measured: a relaxed structure of NdEr2Tl3 at the GGA-PBE level of DFT. Values from VASP.

Calculated values
**Crystal system**: tetragonal
**Electronic total energy**: -23.02 eV/f.u.

Structure (Quantum ESPRESSO input):
```
&SYSTEM
  ibrav = 0, nat = 6, ntyp = 3
/
ATOMIC_SPECIES
Nd 144.24 Nd.upf
Er 167.26 Er.upf
Tl 204.38 Tl.upf
CELL_PARAMETERS angstrom
3.760 0.000 0.000
0.000 3.760 0.000
0.000 0.000 11.637
ATOMIC_POSITIONS angstrom
Nd 0.000 0.000 0.000
Er 0.000 0.000 3.944
Er 0.000 0.000 7.693
Tl 1.880 1.880 2.083
Tl 1.880 1.880 5.818
Tl 1.880 1.880 9.554
```

***

No. 19
Computed, not measured: a relaxed structure of NdErTl at the GGA-PBE level of DFT. Values from VASP.

Calculated values
**Crystal system**: cubic
**Electronic total energy**: -11.79 eV/f.u.
**ΔE to the lowest computed polymorph**: 0.00 kJ/mol of atoms

Structure (Quantum ESPRESSO input):
```
&SYSTEM
  ibrav = 0, nat = 12, ntyp = 3
/
ATOMIC_SPECIES
Nd 144.24 Nd.upf
Er 167.26 Er.upf
Tl 204.38 Tl.upf
CELL_PARAMETERS angstrom
7.389 0.000 0.000
0.000 7.389 0.000
0.000 0.000 7.389
ATOMIC_POSITIONS angstrom
Nd 0.000 0.000 0.000
Nd 0.000 3.694 3.694
Nd 3.694 0.000 3.694
Nd 3.694 3.694 0.000
Er 0.000 0.000 3.694
Er 0.000 3.694 0.000
Er 3.694 0.000 0.000
Er 3.694 3.694 3.694
Tl 1.847 1.847 5.541
Tl 1.847 5.541 1.847
Tl 5.541 1.847 1.847
Tl 5.541 5.541 5.541
```

***

No. 20
Computed, not measured: a relaxed structure of NdErTm at the GGA-PBE level of DFT. Values from VASP.

Calculated values
**Crystal system**: cubic
**Electronic total energy**: -11.67 eV/f.u.
**ΔE to the lowest computed polymorph**: 0.00 kJ/mol of atoms
**Energy of formation from the pure elements**: 0.711 eV per atom

Structure (Quantum ESPRESSO input):
```
&SYSTEM
  ibrav = 0, nat = 12, ntyp = 3
/
ATOMIC_SPECIES
Nd 144.24 Nd.upf
Er 167.26 Er.upf
Tm 168.93 Tm.upf
CELL_PARAMETERS angstrom
7.665 0.000 0.000
0.000 7.665 0.000
0.000 0.000 7.665
ATOMIC_POSITIONS angstrom
Nd 0.000 0.000 0.000
Nd 0.000 3.832 3.832
Nd 3.832 0.000 3.832
Nd 3.832 3.832 0.000
Er 0.000 0.000 3.832
Er 0.000 3.832 0.000
Er 3.832 0.000 0.000
Er 3.832 3.832 3.832
Tm 1.916 1.916 5.749
Tm 1.916 5.749 1.916
Tm 5.749 1.916 1.916
Tm 5.749 5.749 5.749
```